1.
B5C7 (PBE, optimized geometry); energy of formation = 356 meV/atom; distance to the lowest polymorph of the same formula = 97.6 meV per atom
1.0
6.122 -1.295 0.000
6.122 1.295 0.000
-1.344 0.000 5.103
B C
5 7
Direct
0.000 0.000 0.000
0.029 0.029 0.399
0.260 0.260 0.847
0.605 0.605 0.008
0.897 0.897 0.715
0.260 0.260 0.346
0.335 0.335 0.630
0.338 0.338 0.154
0.606 0.606 0.498
0.667 0.667 0.781
0.686 0.686 0.306
0.909 0.909 0.187

2.
AcFe9Ge4 (PBE, optimized geometry); energy of formation = -192 meV/atom
1.0
-4.079 4.079 5.964
4.079 -4.079 5.964
4.079 4.079 -5.964
Ac Fe Ge
2 18 8
Direct
0.250 0.250 0.000
0.750 0.750 0.000
0.000 0.500 0.500
0.062 0.797 0.860
0.064 0.564 0.278
0.203 0.062 0.265
0.214 0.936 0.500
0.286 0.786 0.722
0.297 0.562 0.860
0.436 0.714 0.500
0.438 0.297 0.735
0.500 0.000 0.500
0.562 0.703 0.265
0.564 0.286 0.500
0.703 0.438 0.140
0.714 0.214 0.278
0.786 0.064 0.500
0.797 0.938 0.735
0.936 0.436 0.722
0.938 0.203 0.140
0.057 0.194 0.500
0.194 0.694 0.137
0.306 0.443 0.500
0.443 0.943 0.137
0.557 0.057 0.863
0.694 0.557 0.500
0.806 0.306 0.863
0.943 0.806 0.500